No. 1
Compound: NaSrCr2
Source: Alexandria
Functional: PBE
Structure: relaxed

Calculated values
SG = Fm-3m
Spin magnetization = 9.7 μB per formula unit
Formation energy from the elements = 0.970 eV per atom
Polymorph energy (0 for the lowest one) = 0.0 meV per atom
Density = 3.0 g cm⁻³

Lattice parameters (Å, degrees): 5.490 5.490 5.490 60.00 60.00 60.00
Site moments in Bohr magnetons follow the coordinates.
Atoms (fractional coordinates):
Cr 0.250 0.250 0.250  4.06
Cr 0.750 0.750 0.750  4.06
Sr 0.500 0.500 0.500  0.08
Na 0.000 0.000 0.000  -0.01


No. 2
Compound: Pr6Sb3As2Br
Source: Alexandria
Functional: PBE
Structure: relaxed

Calculated values
SG = C2/m
Spin magnetization = 0.0 μB per formula unit
Density = 6.4 g cm⁻³
Raw total energy = -67.90 eV per cell

Lattice parameters (Å, degrees): 4.439 8.917 9.928 102.41 102.92 90.00
Atoms (fractional coordinates):
Pr 0.327 0.898 0.654
Sb 0.162 0.835 0.323
As 0.833 0.667 0.665
As 0.167 0.333 0.335
Pr 0.671 0.575 0.342
Pr 0.992 0.736 0.985
Br 0.500 0.000 0.000
Pr 0.673 0.102 0.346
Sb 0.500 0.500 0.000
Sb 0.838 0.165 0.677
Pr 0.008 0.264 0.015
Pr 0.329 0.425 0.658


No. 3
Compound: BaRhCl2
Source: Alexandria
Functional: PBE
Structure: relaxed

Calculated values
SG = Cmmm
Spin magnetization = 1.0 μB per formula unit
Polymorph energy (0 for the lowest one) = 445.7 meV per atom
Density = 5.0 g cm⁻³

Lattice parameters (Å, degrees): 3.984 3.984 6.598 90.00 90.00 101.47
Site moments in Bohr magnetons follow the coordinates.
Atoms (fractional coordinates):
Ba 0.500 0.500 0.750  -0.02
Cl 0.000 0.000 0.011  0.02
Cl 0.000 0.000 0.489  0.02
Rh 0.500 0.500 0.250  0.95


No. 4
Compound: Ce5TlSb3
Source: Alexandria
Functional: PBE
Structure: relaxed

Calculated values
SG = P6_3/mcm
Spin magnetization = 5.2 μB per formula unit
Density = 8.3 g cm⁻³
Raw total energy = -102.64 eV per cell

Lattice parameters (Å, degrees): 6.460 9.540 9.540 120.00 90.00 90.00
Site moments in Bohr magnetons follow the coordinates.
Atoms (fractional coordinates):
Sb 0.750 0.000 0.627  -0.03
Sb 0.250 0.000 0.373  -0.03
Ce 0.750 0.000 0.286  0.70
Ce 0.750 0.714 0.714  0.70
Tl 0.000 0.000 0.000  0.02
Ce 0.250 0.714 0.000  0.70
Sb 0.250 0.373 0.000  -0.03
Ce 0.000 0.333 0.667  1.00
Ce 0.500 0.667 0.333  1.00
Sb 0.750 0.373 0.373  -0.03
Sb 0.750 0.627 0.000  -0.03
Sb 0.250 0.627 0.627  -0.03
Ce 0.000 0.667 0.333  1.00
Ce 0.750 0.286 0.000  0.70
Tl 0.500 0.000 0.000  0.02
Ce 0.250 0.000 0.714  0.70
Ce 0.500 0.333 0.667  1.00
Ce 0.250 0.286 0.286  0.70


No. 5
Compound: Y2AgOs
Source: Alexandria
Functional: PBE
Structure: relaxed

Calculated values
SG = Pmm2
Spin magnetization = 0.0 μB per formula unit
Formation energy from the elements = 0.093 eV per atom
Density = 8.5 g cm⁻³

Lattice parameters (Å, degrees): 3.486 4.480 5.923 90.00 90.00 90.00
Atoms (fractional coordinates):
Y 0.500 0.500 0.299
Os 0.500 0.500 0.814
Y 0.000 0.000 0.930
Ag 0.000 0.000 0.457


No. 6
Compound: LaTl3Cu
Source: Alexandria
Functional: PBE
Structure: relaxed

Calculated values
SG = Pm-3m
Spin magnetization = 0.0 μB per formula unit
Formation energy from the elements = 0.974 eV per atom
Polymorph energy (0 for the lowest one) = 965.7 meV per atom
Density = 5.7 g cm⁻³

Lattice parameters (Å, degrees): 6.193 6.193 6.193 90.00 90.00 90.00
Atoms (fractional coordinates):
Tl 0.000 0.000 0.500
Tl 0.500 0.000 0.000
Tl 0.000 0.500 0.000
Cu 0.500 0.500 0.500
La 0.000 0.000 0.000